The following is a PBE calculation of a geometry-optimized Sr2LiBi structure, from the Alexandria database.

Symmetry = R-3m
ΔE_f = 100 meV per atom
Crystal system = trigonal

Geometry as CIF:
```
data_Sr2LiBi
_cell_length_a 3.946
_cell_length_b 3.946
_cell_length_c 12.524
_cell_angle_alpha 80.94
_cell_angle_beta 80.94
_cell_angle_gamma 60.00
_symmetry_space_group_name_H-M 'P 1'
_symmetry_Int_Tables_number 1
loop_
_symmetry_equiv_pos_as_xyz
'x,y,z'
loop_
_atom_site_label
_atom_site_type_symbol
_atom_site_fract_x
_atom_site_fract_y
_atom_site_fract_z
_atom_site_occupancy
Li1 Li 0.500 0.500 0.500 1
Sr1 Sr 0.910 0.910 0.270 1
Sr2 Sr 0.090 0.090 0.730 1
Bi1 Bi 0.000 0.000 0.000 1
```

---

The following is a PBE calculation of a geometry-optimized ScSnI structure, from the Alexandria database.

ΔE_f (raw) = -0.65 eV per atom
Symmetry = P-1
Crystal system = triclinic

Geometry as CIF:
```
data_ScSnI
_cell_length_a 3.781
_cell_length_b 5.399
_cell_length_c 11.360
_cell_angle_alpha 91.86
_cell_angle_beta 90.39
_cell_angle_gamma 111.08
_symmetry_space_group_name_H-M 'P 1'
_symmetry_Int_Tables_number 1
loop_
_symmetry_equiv_pos_as_xyz
'x,y,z'
loop_
_atom_site_label
_atom_site_type_symbol
_atom_site_fract_x
_atom_site_fract_y
_atom_site_fract_z
_atom_site_occupancy
Sn1 Sn 0.639 0.779 0.453 1
Sc1 Sc 0.084 0.659 0.662 1
I1 I 0.647 0.776 0.845 1
Sc2 Sc 0.916 0.341 0.338 1
Sn2 Sn 0.361 0.221 0.547 1
I2 I 0.353 0.224 0.155 1
```

---

The following is a PBE calculation of a geometry-optimized K2TcIr structure, from the Alexandria database.

Symmetry = Pmmm
ΔE_f = 1100 meV per atom
Polymorph energy (0 for the lowest one) = 13.153 kcal/mol of atoms
Crystal system = orthorhombic

Geometry as CIF:
```
data_K2TcIr
_cell_length_a 2.957
_cell_length_b 4.681
_cell_length_c 5.779
_cell_angle_alpha 90.00
_cell_angle_beta 90.00
_cell_angle_gamma 90.00
_symmetry_space_group_name_H-M 'P 1'
_symmetry_Int_Tables_number 1
loop_
_symmetry_equiv_pos_as_xyz
'x,y,z'
loop_
_atom_site_label
_atom_site_type_symbol
_atom_site_fract_x
_atom_site_fract_y
_atom_site_fract_z
_atom_site_occupancy
K1 K 0.500 0.500 0.000 1
Ir1 Ir 0.000 0.500 0.500 1
K2 K 0.000 0.000 0.000 1
Tc1 Tc 0.500 0.000 0.500 1
```

---

The following is a PBE calculation of a geometry-optimized Zr2ZnAs structure, from the Alexandria database.

Symmetry = Fm-3m
ΔE_f = -414 meV per atom
Crystal system = cubic

Geometry as CIF:
```
data_Zr2ZnAs
_cell_length_a 4.744
_cell_length_b 4.744
_cell_length_c 4.744
_cell_angle_alpha 60.00
_cell_angle_beta 60.00
_cell_angle_gamma 60.00
_symmetry_space_group_name_H-M 'P 1'
_symmetry_Int_Tables_number 1
loop_
_symmetry_equiv_pos_as_xyz
'x,y,z'
loop_
_atom_site_label
_atom_site_type_symbol
_atom_site_fract_x
_atom_site_fract_y
_atom_site_fract_z
_atom_site_occupancy
Zr1 Zr 0.750 0.750 0.750 1
Zr2 Zr 0.250 0.250 0.250 1
Zn1 Zn 0.000 0.000 0.000 1
As1 As 0.500 0.500 0.500 1
```

---

The following is a PBE calculation of a geometry-optimized YCo2Hg2 structure, from the Alexandria database.

Symmetry = P4/mbm
ΔE_f = 118 meV per atom
Polymorph energy (0 for the lowest one) = 0.989 kcal/mol of atoms
Crystal system = tetragonal

Geometry as CIF:
```
data_YCo2Hg2
_cell_length_a 7.005
_cell_length_b 7.005
_cell_length_c 3.762
_cell_angle_alpha 90.00
_cell_angle_beta 90.00
_cell_angle_gamma 90.00
_symmetry_space_group_name_H-M 'P 1'
_symmetry_Int_Tables_number 1
loop_
_symmetry_equiv_pos_as_xyz
'x,y,z'
loop_
_atom_site_label
_atom_site_type_symbol
_atom_site_fract_x
_atom_site_fract_y
_atom_site_fract_z
_atom_site_occupancy
Hg1 Hg 0.328 0.172 0.500 1
Co1 Co 0.117 0.383 0.000 1
Hg2 Hg 0.828 0.328 0.500 1
Hg3 Hg 0.172 0.672 0.500 1
Hg4 Hg 0.672 0.828 0.500 1
Co2 Co 0.883 0.617 0.000 1
Y1 Y 0.000 0.000 0.000 1
Y2 Y 0.500 0.500 0.000 1
Co3 Co 0.383 0.883 0.000 1
Co4 Co 0.617 0.117 0.000 1
```

---

The following is a PBE calculation of a geometry-optimized PH4I3 structure, from the Alexandria database.

Symmetry = Imm2
Crystal system = orthorhombic
Total energy = -23.100 eV/cell

Geometry as CIF:
```
data_PH4I3
_cell_length_a 6.627
_cell_length_b 6.627
_cell_length_c 6.627
_cell_angle_alpha 84.70
_cell_angle_beta 132.93
_cell_angle_gamma 114.28
_symmetry_space_group_name_H-M 'P 1'
_symmetry_Int_Tables_number 1
loop_
_symmetry_equiv_pos_as_xyz
'x,y,z'
loop_
_atom_site_label
_atom_site_type_symbol
_atom_site_fract_x
_atom_site_fract_y
_atom_site_fract_z
_atom_site_occupancy
H1 H 0.673 0.337 0.336 1
I1 I 0.569 0.212 0.781 1
H2 H 0.999 0.663 0.336 1
P1 P 0.986 0.500 0.486 1
H3 H 0.147 0.616 0.763 1
H4 H 0.147 0.384 0.531 1
I2 I 0.061 0.000 0.061 1
I3 I 0.569 0.788 0.357 1
```